Material: Er3In2Au
Method: DFT, GGA-PBE
State: relaxed

Lattice parameters (Å, degrees): 3.530 3.530 12.026 90.00 90.00 90.00
Space group P4/mmm (No. 123)
Unique sites:
Er (0.000, 0.000, 0.000)
Er (0.000, 0.000, 0.352)
In (0.500, 0.500, 0.175)
Au (0.500, 0.500, 0.500)

The calculated total energy comes out at -26.0 eV per formula unit. The calculation puts the energy of formation at -0.60 eV/atom.


Material: RbLaMgCd
Method: DFT, GGA-PBE
State: relaxed

Lattice parameters (Å, degrees): 13.583 3.500 6.148 90.00 110.36 90.00
Space group Cm (No. 8)
Unique sites:
Rb (0.000, 0.000, 0.000)
La (0.194, 0.000, 0.647)
Mg (0.440, 0.000, 0.456)
Cd (0.257, 0.500, 0.189)

The calculated total energy comes out at -7.9 eV per formula unit. Its energy relative to the lowest polymorph listed for this composition is 114.0 meV per atom. The calculation puts the energy of formation at 0.12 eV/atom.


Material: Rb5BrO
Method: DFT, GGA-PBE
State: relaxed

Lattice parameters (Å, degrees): 11.881 12.985 11.297 90.00 117.84 90.00
Space group C2/c (No. 15)
Unique sites:
Rb (0.000, 0.228, 0.250)
Rb (0.124, 0.240, 0.651)
Rb (0.220, 0.464, 0.484)
Br (0.000, 0.036, 0.750)
O (0.250, 0.250, 0.500)

The calculated total energy comes out at -17.5 eV per formula unit. As for the uncorrected formation energy: -0.8659 eV/atom.


Material: Bi2TeO6
Method: DFT, GGA-PBE
State: relaxed

Lattice parameters (Å, degrees): 5.454 16.848 5.455 90.00 90.00 90.00
Space group Cmce (No. 64)
Unique sites:
Bi (0.000, 0.173, 0.011)
Te (0.000, 0.000, 0.500)
O (0.000, 0.109, 0.415)
O (0.250, 0.032, 0.750)
O (0.250, 0.249, 0.250)

The calculated total energy comes out at -51.0 eV per formula unit. As for the uncorrected formation energy: -1.1519 eV/atom.


Material: KZr2P
Method: DFT, GGA-PBE
State: relaxed

Lattice parameters (Å, degrees): 3.968 5.158 10.220 90.00 90.00 90.00
Space group Cmmm (No. 65)
Unique sites:
K (0.000, 0.000, 0.000)
Zr (0.000, 0.500, 0.339)
P (0.000, 0.000, 0.500)

The calculated total energy comes out at -24.0 eV per formula unit. The calculation puts the energy of formation at -0.10 eV/atom.


Material: Li3HoIn4
Method: DFT, GGA-PBE
State: relaxed

Lattice parameters (Å, degrees): 4.9083 4.9083 24.9274 90.00 90.00 120.00
Space group R-3m (No. 166, hexagonal axes)
Unique sites:
Li (0.0000, 0.0000, 0.0000)
Li (0.0000, 0.0000, 0.2502)
Ho (0.0000, 0.0000, 0.5000)
In (0.0000, 0.0000, 0.1158)
In (0.0000, 0.0000, 0.3714)

The calculated total energy comes out at -23.9 eV per formula unit. The calculation puts the energy of formation at -0.32 eV/atom.


Material: K2ZrRu
Method: DFT, GGA-PBE
State: relaxed

Lattice parameters (Å, degrees): 21.762 3.492 3.875 90.00 100.19 90.00
Space group C2/m (No. 12)
Unique sites:
K (0.152, 0.000, 0.152)
Zr (0.000, 0.000, 0.500)
Ru (0.000, 0.500, 0.000)

The calculated total energy comes out at -18.7 eV per formula unit. Its energy relative to the lowest polymorph listed for this composition is 24.6 meV per atom. The calculation puts the energy of formation at 0.33 eV/atom.


Material: MnIrRh2
Method: DFT, GGA-PBE
State: relaxed

Lattice parameters (Å, degrees): 2.746 3.785 5.400 90.00 90.00 90.00
Space group Pmmm (No. 47)
Unique sites:
Mn (0.000, 0.000, 0.000)
Ir (0.000, 0.000, 0.500)
Rh (0.500, 0.500, 0.250)

The calculated total energy comes out at -33.1 eV per formula unit. The calculation puts the energy of formation at -0.08 eV/atom.


Material: BeCdHg2Ru
Method: DFT, GGA-PBE
State: relaxed

Lattice parameters (Å, degrees): 4.564 4.564 4.685 90.00 90.00 90.00
Space group P4/mmm (No. 123)
Unique sites:
Be (0.000, 0.000, 0.000)
Cd (0.000, 0.000, 0.500)
Hg (0.000, 0.500, 0.000)
Ru (0.500, 0.500, 0.500)

The calculated total energy comes out at -10.2 eV per formula unit. The calculation puts the energy of formation at 0.86 eV/atom.


Material: AlBi2Se
Method: DFT, GGA-PBE
State: relaxed

Lattice parameters (Å, degrees): 7.441 7.441 7.441 90.00 90.00 90.00
Space group Fm-3m (No. 225)
Unique sites:
Al (0.000, 0.000, 0.000)
Bi (0.250, 0.250, 0.250)
Se (0.000, 0.000, 0.500)

The calculated total energy comes out at -14.2 eV per formula unit. As for the uncorrected formation energy: 0.1978 eV/atom. Its energy relative to the lowest polymorph listed for this composition is 0.0 meV per atom.


Material: Rb3Tl2Sb3
Method: DFT, GGA-PBE
State: relaxed

Lattice parameters (Å, degrees): 5.807 12.543 17.521 90.00 90.00 90.00
Space group Cmcm (No. 63)
Unique sites:
Rb (0.000, 0.096, 0.120)
Rb (0.000, 0.394, 0.250)
Tl (0.000, 0.202, 0.588)
Sb (0.000, 0.298, 0.750)
Sb (0.000, 0.397, 0.033)

The calculated total energy comes out at -22.3 eV per formula unit. As for the uncorrected formation energy: -0.2855 eV/atom.


Material: Hf2Co3Si4
Method: DFT, GGA-PBE
State: relaxed

Lattice parameters (Å, degrees): 6.739 5.195 13.682 90.00 90.00 90.00
Space group Pbcn (No. 60)
Unique sites:
Hf (0.101, 0.232, 0.146)
Co (0.000, 0.274, 0.750)
Co (0.225, 0.006, 0.482)
Si (0.019, 0.282, 0.569)
Si (0.247, 0.019, 0.813)

The calculated total energy comes out at -69.9 eV per formula unit. As for the uncorrected formation energy: -0.7749 eV/atom. Its energy relative to the lowest polymorph listed for this composition is 0.0 meV per atom.


Material: K2ScTiS4
Method: DFT, GGA-PBE
State: relaxed

Lattice parameters (Å, degrees): 7.051 7.051 9.427 90.00 90.00 90.00
Space group I-4 (No. 82)
Unique sites:
K (0.000, 0.000, 0.000)
K (0.000, 0.500, 0.250)
Sc (0.000, 0.000, 0.500)
Ti (0.000, 0.500, 0.750)
S (0.160, 0.743, 0.628)

The calculated total energy comes out at -44.1 eV per formula unit. As for the uncorrected formation energy: -1.3931 eV/atom.


Material: Li2PrSbSe4
Method: DFT, GGA-PBE
State: relaxed

Lattice parameters (Å, degrees): 6.952 4.158 7.214 90.00 110.06 90.00
Space group P2/m (No. 10)
Unique sites:
Li (0.000, 0.000, 0.000)
Li (0.000, 0.500, 0.500)
Pr (0.500, 0.000, 0.500)
Sb (0.500, 0.500, 0.000)
Se (0.239, 0.500, 0.238)
Se (0.240, 0.000, 0.755)

The calculated total energy comes out at -35.8 eV per formula unit. As for the uncorrected formation energy: -1.1374 eV/atom.


Material: ScAuO2
Method: DFT, GGA-PBE
State: relaxed

Lattice parameters (Å, degrees): 5.770 5.770 5.770 90.00 90.00 90.00
Space group Fm-3m (No. 225)
Unique sites:
Sc (0.000, 0.000, 0.000)
Au (0.000, 0.000, 0.500)
O (0.250, 0.250, 0.250)

The calculated total energy comes out at -24.3 eV per formula unit. As for the uncorrected formation energy: -1.2048 eV/atom.


Material: Li3In5H12
Method: DFT, GGA-PBE
State: relaxed

Lattice parameters (Å, degrees): 13.042 13.042 13.042 90.00 90.00 90.00
Space group Ia-3d (No. 230)
Unique sites:
Li (0.000, 0.250, 0.125)
In (0.000, 0.000, 0.000)
In (0.000, 0.250, 0.375)
H (0.034, 0.077, 0.674)

The calculated total energy comes out at -54.8 eV per formula unit.


Material: Er4Mg3Cd
Method: DFT, GGA-PBE
State: relaxed

Lattice parameters (Å, degrees): 3.759 3.759 14.942 90.00 90.00 90.00
Space group P4/mmm (No. 123)
Unique sites:
Er (0.000, 0.000, 0.122)
Er (0.000, 0.000, 0.374)
Mg (0.500, 0.500, 0.250)
Mg (0.500, 0.500, 0.500)
Cd (0.500, 0.500, 0.000)

The calculated total energy comes out at -25.0 eV per formula unit. Its energy relative to the lowest polymorph listed for this composition is 0.0 meV per atom. The calculation puts the energy of formation at -0.13 eV/atom.


Material: OsAuSBr2
Method: DFT, GGA-PBE
State: relaxed

Lattice parameters (Å, degrees): 5.171 5.171 5.373 90.00 90.00 90.00
Space group P4/mmm (No. 123)
Unique sites:
Os (0.000, 0.000, 0.000)
Au (0.000, 0.000, 0.500)
S (0.500, 0.500, 0.000)
Br (0.000, 0.500, 0.500)

The calculated total energy comes out at -13.9 eV per formula unit. As for the uncorrected formation energy: 1.6114 eV/atom.


Material: Ta5S8
Method: DFT, GGA-PBE
State: relaxed

Lattice parameters (Å, degrees): 26.699 3.275 5.786 90.00 101.40 90.00
Space group C2/m (No. 12)
Unique sites:
Ta (0.000, 0.000, 0.000)
Ta (0.123, 0.500, 0.633)
Ta (0.124, 0.000, 0.126)
S (0.061, 0.500, 0.244)
S (0.062, 0.000, 0.739)
S (0.183, 0.500, 0.351)
S (0.184, 0.000, 0.851)

The calculated total energy comes out at -105.9 eV per formula unit. As for the uncorrected formation energy: -1.0497 eV/atom.


Material: Tl2Sn2Bi
Method: DFT, GGA-PBE
State: relaxed

Lattice parameters (Å, degrees): 5.583 3.331 8.515 90.00 107.88 90.00
Space group P2/m (No. 10)
Unique sites:
Tl (0.103, 0.000, 0.207)
Sn (0.297, 0.500, 0.595)
Bi (0.500, 0.500, 0.000)

The calculated total energy comes out at -16.5 eV per formula unit. Its energy relative to the lowest polymorph listed for this composition is 0.0 meV per atom. The calculation puts the energy of formation at 0.02 eV/atom.